Below is TbScSn2 after structural relaxation, with properties calculated at the PBE level.

Output
The calculation puts the calculated volume at 104 Å³/f.u. The calculation puts the formation energy at -651 meV per atom. As for the density of states at the Fermi level: 2.723 states/eV per cell. The total magnetization comes out at 0.00 μB/cell. Its total energy is -21.57 eV per formula unit.

POSCAR file:
```
TbScSn2
1.0
4.241 0.000 0.000
0.000 2.199 5.580
0.000 -2.199 5.580
Tb Sc Sn
1 1 2
Cartesian
0.000 0.000 0.000 Tb
2.120 0.000 8.219 Sc
0.000 0.000 3.034 Sn
2.120 0.000 5.181 Sn
```

Below is Tb3Sc7Sn2 after structural relaxation, with properties calculated at the PBE level.

Output
The calculation puts the calculated volume at 331 Å³/f.u. The calculation puts the formation energy at -84 meV per atom. As for the density of states at the Fermi level: 22.182 states/eV per cell. The total magnetization comes out at 2.99 μB/cell. Its total energy is -67.22 eV per formula unit.

POSCAR file:
```
Tb3Sc7Sn2
1.0
3.110 1.796 9.888
-3.110 1.796 9.888
0.000 -3.591 9.888
Tb Sc Sn
3 7 2
Cartesian
0.000 0.000 0.000 Tb
0.000 0.000 4.253 Tb
0.000 0.000 25.411 Tb
-1.551 -0.896 12.278 Sc
0.000 -1.791 17.386 Sc
-1.551 0.896 17.386 Sc
0.000 0.000 14.832 Sc
1.551 -0.896 12.278 Sc
0.000 1.791 12.278 Sc
1.551 0.896 17.386 Sc
0.000 0.000 9.888 Sn
0.000 0.000 19.776 Sn
```

Below is TbSc3Sn3 after structural relaxation, with properties calculated at the PBE level.

Output
The calculation puts the calculated volume at 171 Å³/f.u. The calculation puts the formation energy at -527 meV per atom. As for the density of states at the Fermi level: 12.962 states/eV per cell. The total magnetization comes out at 0.00 μB/cell. Its total energy is -39.32 eV per formula unit.

POSCAR file:
```
TbSc3Sn3
1.0
8.712 0.000 0.000
-4.356 7.544 0.000
0.000 0.000 5.203
Tb Sc Sn
2 6 6
Cartesian
0.000 5.030 1.301 Tb
4.356 2.515 3.902 Tb
-0.931 1.749 1.301 Sc
-2.376 7.476 1.301 Sc
1.049 1.681 3.902 Sc
3.307 5.864 1.301 Sc
6.732 0.068 3.902 Sc
5.287 5.796 3.902 Sc
-1.282 3.350 3.902 Sn
-0.814 6.980 3.902 Sn
2.260 2.785 1.301 Sn
2.096 4.759 3.902 Sn
5.170 0.564 1.301 Sn
5.638 4.195 1.301 Sn
```

Below is TbScSn2 after structural relaxation, with properties calculated at the PBE level.

Output
The calculation puts the calculated volume at 106 Å³/f.u. The calculation puts the formation energy at -488 meV per atom. As for the density of states at the Fermi level: 1.718 states/eV per cell. The total magnetization comes out at 0.00 μB/cell. Its total energy is -20.92 eV per formula unit.

POSCAR file:
```
TbScSn2
1.0
1.841 1.063 9.018
-1.841 1.063 9.018
0.000 -2.126 9.018
Tb Sc Sn
1 1 2
Cartesian
0.000 0.000 0.000 Tb
0.000 0.000 13.527 Sc
0.000 0.000 6.651 Sn
0.000 0.000 20.404 Sn
```

Below is TbSc4Sn4 after structural relaxation, with properties calculated at the PBE level.

Output
The calculation puts the calculated volume at 261 Å³/f.u. The calculation puts the formation energy at -352 meV per atom. As for the density of states at the Fermi level: 18.221 states/eV per cell. The total magnetization comes out at 0.00 μB/cell. Its total energy is -49.14 eV per formula unit.

POSCAR file:
```
TbSc4Sn4
1.0
9.477 0.000 0.000
0.000 9.477 0.000
0.000 0.000 5.808
Tb Sc Sn
2 8 8
Cartesian
2.369 2.369 1.452 Tb
7.108 7.108 4.356 Tb
0.998 6.083 0.849 Sc
1.345 8.479 3.753 Sc
3.394 5.736 3.753 Sc
3.740 8.132 0.849 Sc
5.736 1.345 4.959 Sc
6.083 3.740 2.055 Sc
8.132 0.998 2.055 Sc
8.479 3.394 4.959 Sc
0.438 5.739 3.842 Sn
1.001 9.039 0.938 Sn
3.737 5.176 0.938 Sn
4.300 8.476 3.842 Sn
5.176 1.001 1.966 Sn
5.739 4.300 4.870 Sn
8.476 0.438 4.870 Sn
9.039 3.737 1.966 Sn
```

Below is Tb3ScSn2 after structural relaxation, with properties calculated at the PBE level.

Output
The calculation puts the calculated volume at 168 Å³/f.u. The calculation puts the formation energy at -593 meV per atom. As for the density of states at the Fermi level: 13.346 states/eV per cell. The total magnetization comes out at 0.00 μB/cell. Its total energy is -31.79 eV per formula unit.

POSCAR file:
```
Tb3ScSn2
1.0
-3.176 8.358 3.165
3.176 -8.358 3.165
3.176 8.358 -3.165
Tb Sc Sn
6 2 4
Cartesian
1.571 2.897 0.000 Tb
0.000 0.000 1.583 Tb
1.571 -2.897 3.165 Tb
1.605 11.255 0.000 Tb
0.000 0.000 4.748 Tb
1.605 5.460 3.165 Tb
3.176 0.000 1.583 Sc
0.000 8.358 1.583 Sc
4.704 2.273 0.000 Sn
1.527 6.085 0.000 Sn
1.649 2.273 3.165 Sn
-1.527 6.085 3.165 Sn
```

Below is TbSc2Sn2 after structural relaxation, with properties calculated at the PBE level.

Output
The calculation puts the calculated volume at 123 Å³/f.u. The calculation puts the formation energy at -556 meV per atom. As for the density of states at the Fermi level: 4.416 states/eV per cell. The total magnetization comes out at 0.00 μB/cell. Its total energy is -28.08 eV per formula unit.

POSCAR file:
```
TbSc2Sn2
1.0
2.489 1.437 5.739
-2.489 1.437 5.739
0.000 -2.874 5.739
Tb Sc Sn
1 2 2
Cartesian
0.000 0.000 0.000 Tb
0.000 0.000 3.517 Sc
0.000 0.000 13.700 Sc
0.000 0.000 7.070 Sn
0.000 0.000 10.147 Sn
```

Below is TbScSn2 after structural relaxation, with properties calculated at the PBE level.

Output
The calculation puts the calculated volume at 102 Å³/f.u. The calculation puts the formation energy at -496 meV per atom. As for the density of states at the Fermi level: 3.297 states/eV per cell. The total magnetization comes out at 0.00 μB/cell. Its total energy is -20.95 eV per formula unit.

POSCAR file:
```
TbScSn2
1.0
0.000 3.707 3.707
3.707 0.000 3.707
3.707 3.707 0.000
Tb Sc Sn
1 1 2
Cartesian
0.000 0.000 0.000 Tb
3.707 3.707 3.707 Sc
1.853 1.853 1.853 Sn
5.560 5.560 5.560 Sn
```

Below is Tb3ScSn12 after structural relaxation, with properties calculated at the PBE level.

Output
The calculation puts the calculated volume at 414 Å³/f.u. The calculation puts the formation energy at -400 meV per atom. As for the density of states at the Fermi level: 7.614 states/eV per cell. The total magnetization comes out at 0.00 μB/cell. Its total energy is -74.66 eV per formula unit.

POSCAR file:
```
Tb3ScSn12
1.0
4.718 0.000 0.000
0.000 4.718 0.000
0.000 0.000 18.589
Tb Sc Sn
3 1 12
Cartesian
0.000 0.000 0.000 Tb
0.000 0.000 4.696 Tb
0.000 0.000 13.892 Tb
0.000 0.000 9.294 Sc
0.000 2.359 2.358 Sn
0.000 2.359 7.073 Sn
0.000 2.359 11.516 Sn
0.000 2.359 16.231 Sn
2.359 0.000 2.358 Sn
2.359 0.000 7.073 Sn
2.359 0.000 11.516 Sn
2.359 0.000 16.231 Sn
2.359 2.359 0.000 Sn
2.359 2.359 4.721 Sn
2.359 2.359 9.294 Sn
2.359 2.359 13.867 Sn
```

Below is Tb2ScSn2 after structural relaxation, with properties calculated at the PBE level.

Output
The calculation puts the calculated volume at 138 Å³/f.u. The calculation puts the formation energy at -629 meV per atom. As for the density of states at the Fermi level: 7.394 states/eV per cell. The total magnetization comes out at 0.00 μB/cell. Its total energy is -26.74 eV per formula unit.

POSCAR file:
```
Tb2ScSn2
1.0
2.469 -8.721 0.000
2.469 8.721 0.000
0.000 0.000 6.399
Tb Sc Sn
4 2 4
Cartesian
2.469 8.720 0.000 Tb
2.469 -8.720 3.200 Tb
2.469 5.305 4.794 Tb
2.469 -5.305 1.594 Tb
2.469 1.756 4.802 Sc
2.469 -1.756 1.602 Sc
2.469 5.531 1.595 Sn
2.469 1.339 1.600 Sn
2.469 -1.339 4.800 Sn
2.469 -5.531 4.795 Sn
```

Below is TbScSn2 after structural relaxation, with properties calculated at the PBE level.

Output
The calculation puts the calculated volume at 99 Å³/f.u. The calculation puts the formation energy at -577 meV per atom. As for the density of states at the Fermi level: 3.983 states/eV per cell. The total magnetization comes out at 0.36 μB/cell. Its total energy is -21.28 eV per formula unit.

POSCAR file:
```
TbScSn2
1.0
4.744 0.000 0.000
0.000 4.744 0.000
0.000 0.000 4.390
Tb Sc Sn
1 1 2
Cartesian
0.000 0.000 0.000 Tb
2.372 2.372 0.000 Sc
0.000 2.372 2.195 Sn
2.372 0.000 2.195 Sn
```

Below is Tb3ScSn2 after structural relaxation, with properties calculated at the PBE level.

Output
The calculation puts the calculated volume at 168 Å³/f.u. The calculation puts the formation energy at -594 meV per atom. As for the density of states at the Fermi level: 7.076 states/eV per cell. The total magnetization comes out at 0.00 μB/cell. Its total energy is -31.79 eV per formula unit.

POSCAR file:
```
Tb3ScSn2
1.0
4.485 0.000 0.000
0.000 4.485 0.000
0.000 0.000 8.373
Tb Sc Sn
3 1 2
Cartesian
0.000 0.000 0.000 Tb
0.000 2.242 5.476 Tb
2.242 0.000 2.897 Tb
2.242 2.242 0.000 Sc
0.000 2.242 2.285 Sn
2.242 0.000 6.088 Sn
```